# LaBeTe, single point on PBEsol structure, DFT meta-GGA SCAN
data_LaBeTe
_cell_length_a 7.152
_cell_length_b 7.152
_cell_length_c 7.152
_cell_angle_alpha 90.00
_cell_angle_beta 90.00
_cell_angle_gamma 90.00
_symmetry_space_group_name_H-M 'F -4 3 m'
_symmetry_Int_Tables_number 216
_symmetry_space_group_name_Hall 'F -4 2 3'
loop_
_atom_site_label
_atom_site_type_symbol
_atom_site_fract_x
_atom_site_fract_y
_atom_site_fract_z
La1 La 0.000 0.000 0.000
Be1 Be 0.250 0.250 0.750
Te1 Te 0.250 0.250 0.250
# - Crystal system: cubic
# - ΔE_f (raw): -49 meV/atom


# LaBeTe, single point on PBEsol structure, DFT meta-GGA SCAN
data_LaBeTe
_cell_length_a 3.609
_cell_length_b 3.609
_cell_length_c 10.644
_cell_angle_alpha 90.00
_cell_angle_beta 90.00
_cell_angle_gamma 90.00
_symmetry_space_group_name_H-M 'I 4 m m'
_symmetry_Int_Tables_number 107
_symmetry_space_group_name_Hall 'I 4 -2'
loop_
_atom_site_label
_atom_site_type_symbol
_atom_site_fract_x
_atom_site_fract_y
_atom_site_fract_z
La1 La 0.000 0.000 0.000
Be1 Be 0.000 0.000 0.698
Te1 Te 0.000 0.000 0.296
# - Crystal system: tetragonal
# - ΔE_f (raw): -359 meV/atom


# LaBeTe2, single point on PBEsol structure, DFT meta-GGA SCAN
data_LaBeTe2
_cell_length_a 11.733
_cell_length_b 4.155
_cell_length_c 4.408
_cell_angle_alpha 90.00
_cell_angle_beta 91.74
_cell_angle_gamma 90.00
_symmetry_space_group_name_H-M 'C 1 m 1'
_symmetry_Int_Tables_number 8
loop_
_symmetry_equiv_pos_as_xyz
'x,y,z'
'x,-y,z'
'x+1/2,y+1/2,z'
'x+1/2,-y+1/2,z'
loop_
_atom_site_label
_atom_site_type_symbol
_atom_site_fract_x
_atom_site_fract_y
_atom_site_fract_z
La1 La 0.000 0.000 0.000
Be1 Be 0.276 0.500 0.366
Te1 Te 0.081 0.500 0.507
Te2 Te 0.291 0.000 0.027
# - Crystal system: monoclinic
# - ΔE_f (raw): -898 meV/atom


# LaBeTl, single point on PBEsol structure, DFT meta-GGA SCAN
data_LaBeTl
_cell_length_a 4.2970
_cell_length_b 4.2970
_cell_length_c 4.4790
_cell_angle_alpha 90.00
_cell_angle_beta 90.00
_cell_angle_gamma 120.00
_symmetry_space_group_name_H-M 'P -6 m 2'
_symmetry_Int_Tables_number 187
_symmetry_space_group_name_Hall 'P -6 2'
loop_
_atom_site_label
_atom_site_type_symbol
_atom_site_fract_x
_atom_site_fract_y
_atom_site_fract_z
La1 La 0.0000 0.0000 0.0000
Be1 Be 0.6667 0.3333 0.5000
Tl1 Tl 0.3333 0.6667 0.5000
# - Crystal system: hexagonal
# - Raw total energy: -120.8 eV/f.u.


# La3BeTl, single point on PBEsol structure, DFT meta-GGA SCAN
data_La3BeTl
_cell_length_a 5.922
_cell_length_b 5.922
_cell_length_c 5.922
_cell_angle_alpha 90.00
_cell_angle_beta 90.00
_cell_angle_gamma 90.00
_symmetry_space_group_name_H-M 'P m -3 m'
_symmetry_Int_Tables_number 221
_symmetry_space_group_name_Hall '-P 4 2 3'
loop_
_atom_site_label
_atom_site_type_symbol
_atom_site_fract_x
_atom_site_fract_y
_atom_site_fract_z
La1 La 0.000 0.000 0.500
Be1 Be 0.500 0.500 0.500
Tl1 Tl 0.000 0.000 0.000
# - Crystal system: cubic
# - Raw total energy: -202.9 eV/f.u.


# LaBe2W, single point on PBEsol structure, DFT meta-GGA SCAN
data_LaBe2W
_cell_length_a 2.731
_cell_length_b 4.940
_cell_length_c 9.314
_cell_angle_alpha 90.00
_cell_angle_beta 90.00
_cell_angle_gamma 90.00
_symmetry_space_group_name_H-M 'I m m 2'
_symmetry_Int_Tables_number 44
loop_
_symmetry_equiv_pos_as_xyz
'x,y,z'
'-x,-y,z'
'-x,y,z'
'x,-y,z'
'x+1/2,y+1/2,z+1/2'
'-x+1/2,-y+1/2,z+1/2'
'-x+1/2,y+1/2,z+1/2'
'x+1/2,-y+1/2,z+1/2'
loop_
_atom_site_label
_atom_site_type_symbol
_atom_site_fract_x
_atom_site_fract_y
_atom_site_fract_z
La1 La 0.000 0.000 0.000
Be1 Be 0.000 0.000 0.520
Be2 Be 0.000 0.500 0.217
W1 W 0.000 0.500 0.788
# - Crystal system: orthorhombic
# - Raw total energy: -118.6 eV/f.u.